No. 1
An optimized crystal structure of YPbNO2, computed with PBE.

Summary:
crystal system = tetragonal
M_tot = 2.01 μB/f.u.
raw formation energy = -0.8627 eV/atom

Structure (POSCAR):
```
YPbNO2
1.0
4.353 0.000 0.000
0.000 4.353 0.000
0.000 0.000 4.479
Pb N Y O
1 1 1 2
Direct
0.500 0.500 0.500
0.000 0.000 0.500
0.000 0.000 0.000
0.500 0.000 0.000
0.000 0.500 0.000
```


No. 2
An optimized crystal structure of ZnPbN2O, computed with PBE.

Summary:
crystal system = tetragonal
M_tot = 3.45 μB/f.u.
raw formation energy = 0.9054 eV/atom

Structure (POSCAR):
```
ZnPbN2O
1.0
-3.276 2.223 -0.534
-2.201 -2.815 1.785
0.658 1.873 3.767
N O Zn Pb
2 1 1 1
Direct
0.500 0.000 0.000
0.000 0.500 0.000
0.000 0.000 0.500
0.000 0.000 0.000
0.500 0.500 0.500
```


No. 3
An optimized crystal structure of Pd2NO2, computed with PBE.

Summary:
crystal system = tetragonal
M_tot = 0.59 μB/f.u.
raw formation energy = 1.1085 eV/atom

Structure (POSCAR):
```
Pd2NO2
1.0
3.309 0.000 0.000
0.000 3.309 0.000
1.655 1.655 5.313
Pd N O
2 1 2
Direct
0.624 0.624 0.752
0.376 0.376 0.248
0.000 0.000 0.000
0.250 0.750 0.500
0.750 0.250 0.500
```


Which calculated total energy belongs to each record? In order, -6.5456; -4.4128; -4.6170 eV per atom.
Which theoretical density belongs to each record? In order, 6.69; 7.74; 7.39 Mg/m³.